Below is a relaxed structure of CsRb3V2F9, with properties calculated at the PBE with a Hubbard U level.

Lattice parameters (Å, degrees): 6.1142 6.1142 9.0487 90.00 90.00 120.00
Last column: nearest neighbours and their distance in Å.
Fractional coordinates of all 15 atoms:
Cs 0.0000 0.0000 0.5000  6 F 2.89
Rb 0.3333 0.6667 0.7350  9 F 2.98-3.06
Rb 0.0000 0.0000 0.0000  12 F 3.00-3.06
Rb 0.6667 0.3333 0.2650  9 F 2.98-3.06
V 0.3333 0.6667 0.1344  6 F 1.99-2.14
V 0.6667 0.3333 0.8656  6 F 1.99-2.14
F 0.8221 0.1779 0.7423  1 V 1.99
F 0.8221 0.6442 0.7423  1 V 1.99
F 0.3558 0.1779 0.7423  1 V 1.99
F 0.6442 0.8221 0.2577  1 V 1.99
F 0.1779 0.3558 0.2577  1 V 1.99
F 0.1779 0.8221 0.2577  1 V 1.99
F 0.5000 0.0000 0.0000  2 V 2.14
F 0.0000 0.5000 0.0000  2 V 2.14
F 0.5000 0.5000 0.0000  2 V 2.14

Electronic total energy (Ry/atom): -0.3786
Space group: No. 164